(1)
First-principles (meta-GGA SCAN) data for a PBEsol-optimized structure of Li3SbP2O8, as listed in the Alexandria database.

POSCAR file:
```
Li3SbP2O8
1.0
7.295 0.000 0.000
0.000 8.365 0.000
0.000 -4.183 7.244
Li Sb P O
9 3 6 24
direct
0.857 0.653 0.653
0.857 0.000 0.347
0.000 0.000 0.000
0.011 0.667 0.333
0.143 0.653 0.000
0.857 0.347 0.000
0.989 0.333 0.667
0.143 0.000 0.653
0.143 0.347 0.347
0.500 0.000 0.000
0.468 0.667 0.333
0.532 0.333 0.667
0.748 0.984 0.674
0.748 0.691 0.016
0.748 0.326 0.309
0.252 0.674 0.691
0.252 0.309 0.984
0.252 0.016 0.326
0.213 0.882 0.786
0.908 0.854 0.566
0.571 0.872 0.647
0.271 0.592 0.474
0.271 0.882 0.408
0.213 0.904 0.118
0.571 0.353 0.225
0.787 0.786 0.904
0.571 0.775 0.128
0.908 0.712 0.146
0.908 0.434 0.288
0.271 0.526 0.118
0.729 0.474 0.882
0.092 0.566 0.712
0.092 0.288 0.854
0.429 0.225 0.872
0.213 0.214 0.096
0.429 0.647 0.775
0.787 0.096 0.882
0.729 0.118 0.592
0.729 0.408 0.526
0.429 0.128 0.353
0.092 0.146 0.434
0.787 0.118 0.214
```

Output
- Magnetization: 0.000 μB/atom
- Energy above the lowest structure with this stoichiometry: 3.8 meV per atom
- E_form (uncorrected): -2.324 eV/atom
- Raw total energy: -10.5433 eV/atom

(2)
First-principles (meta-GGA SCAN) data for a PBEsol-optimized structure of MgAu2Cl, as listed in the Alexandria database.

POSCAR file:
```
MgAu2Cl
1.0
-2.706 0.387 2.562
1.666 -2.568 2.148
2.844 3.870 2.420
Au Cl Mg
2 1 1
direct
0.000 0.000 0.745
0.000 0.000 0.255
0.500 0.500 0.000
0.500 0.500 0.500
```

Output
- Magnetization: 0.000 μB/atom
- E_form (uncorrected): -0.383 eV/atom
- Raw total energy: -38.1991 eV/atom

(3)
First-principles (meta-GGA SCAN) data for a PBEsol-optimized structure of Mg2Ge2Pt, as listed in the Alexandria database.

POSCAR file:
```
Mg2Ge2Pt
1.0
4.384 0.000 0.000
0.000 6.374 0.000
0.000 0.000 6.374
Ge Mg Pt
4 4 2
direct
0.000 0.363 0.863
0.000 0.863 0.637
0.000 0.637 0.137
0.000 0.137 0.363
0.500 0.176 0.676
0.500 0.676 0.824
0.500 0.824 0.324
0.500 0.324 0.176
0.000 0.000 0.000
0.000 0.500 0.500
```

Output
- Magnetization: 0.000 μB/atom
- ΔH_f (0 K): -0.5120 eV/atom
- Raw total energy: -24.1752 eV/atom

(4)
First-principles (meta-GGA SCAN) data for a PBEsol-optimized structure of InRh2Au, as listed in the Alexandria database.

POSCAR file:
```
InRh2Au
1.0
3.260 0.000 0.000
0.000 4.382 0.000
0.000 0.000 4.381
Rh Au In
2 1 1
direct
0.000 0.000 0.125
0.000 0.500 0.625
0.500 0.000 0.625
0.500 0.500 0.125
```

Output
- Magnetization: 0.001 μB/atom
- ΔH_f (0 K): -0.1586 eV/atom
- Raw total energy: -42.6802 eV/atom

(5)
First-principles (meta-GGA SCAN) data for a PBEsol-optimized structure of Pr2Y, as listed in the Alexandria database.

POSCAR file:
```
Pr2Y
1.0
-0.823 -3.139 1.550
1.176 -3.079 -1.438
7.409 -1.570 4.925
Pr Y
2 1
direct
0.776 0.776 0.673
0.224 0.224 0.327
0.000 0.000 0.000
```

Output
- Magnetization: 0.000 μB/atom
- ΔH_f (0 K): 0.0308 eV/atom
- Raw total energy: -38.1340 eV/atom

(6)
First-principles (meta-GGA SCAN) data for a PBEsol-optimized structure of Hf2ZrGa2, as listed in the Alexandria database.

POSCAR file:
```
Hf2ZrGa2
1.0
-0.133 -1.437 -3.480
-2.530 -2.545 1.148
-3.989 6.526 -0.502
Hf Ga Zr
2 2 1
direct
0.398 0.398 0.797
0.602 0.602 0.203
0.250 0.750 0.500
0.750 0.250 0.500
0.000 0.000 0.000
```

Output
- Magnetization: 0.000 μB/atom
- Energy above the lowest structure with this stoichiometry: 707.8 meV per atom
- ΔH_f (0 K): 0.1533 eV/atom
- Raw total energy: -37.5942 eV/atom

(7)
First-principles (meta-GGA SCAN) data for a PBEsol-optimized structure of BSbW2, as listed in the Alexandria database.

POSCAR file:
```
BSbW2
1.0
-2.189 -0.177 4.416
4.304 -1.205 2.085
0.229 6.813 -2.367
Sb B W
2 2 4
direct
0.250 0.750 0.500
0.000 0.000 0.000
0.750 0.250 0.500
0.500 0.500 0.000
0.508 0.875 0.250
0.742 0.375 0.250
0.125 0.258 0.750
0.625 0.492 0.750
```

Output
- Magnetization: 0.000 μB/atom
- E_form (uncorrected): 1.123 eV/atom
- Raw total energy: -44.8931 eV/atom

(8)
First-principles (meta-GGA SCAN) data for a PBEsol-optimized structure of Na4NpO5, as listed in the Alexandria database.

POSCAR file:
```
Na4NpO5
1.0
-1.034 4.432 -0.467
-5.565 1.183 1.131
0.700 3.040 4.891
Na Np O
4 1 5
direct
0.398 0.800 0.404
0.602 0.200 0.596
0.802 0.596 0.800
0.198 0.404 0.200
0.000 0.000 0.000
0.500 0.000 0.000
0.076 0.178 0.669
0.924 0.822 0.331
0.746 0.331 0.178
0.254 0.669 0.822
```

Output
- Magnetization: 0.100 μB/atom
- E_form (uncorrected): -2.420 eV/atom
- Raw total energy: -17.9226 eV/atom

(9)
First-principles (meta-GGA SCAN) data for a PBEsol-optimized structure of BeGeN2O, as listed in the Alexandria database.

POSCAR file:
```
BeGeN2O
1.0
-0.303 1.471 -2.805
2.392 -2.376 -1.505
-2.790 -2.252 -0.879
Be Ge O N
1 1 1 2
direct
0.000 0.000 0.000
0.500 0.500 0.500
0.500 0.000 0.000
0.000 0.000 0.500
0.000 0.500 0.000
```

Output
- Magnetization: 0.001 μB/atom
- E_form (uncorrected): 0.816 eV/atom
- Raw total energy: -8.8353 eV/atom

(10)
First-principles (meta-GGA SCAN) data for a PBEsol-optimized structure of Rb3ScB, as listed in the Alexandria database.

POSCAR file:
```
Rb3ScB
1.0
6.255 0.000 0.000
0.000 6.255 0.000
0.000 0.000 6.255
Sc B Rb
1 1 3
direct
0.500 0.500 0.500
0.000 0.000 0.000
0.000 0.500 0.000
0.000 0.000 0.500
0.500 0.000 0.000
```

Output
- Magnetization: 0.091 μB/atom
- ΔH_f (0 K): 1.2341 eV/atom
- Raw total energy: -15.5428 eV/atom

(11)
First-principles (meta-GGA SCAN) data for a PBEsol-optimized structure of TaCd2Te, as listed in the Alexandria database.

POSCAR file:
```
TaCd2Te
1.0
-0.769 2.668 1.306
-4.257 -1.072 -0.317
0.258 -2.705 5.675
Cd Te Ta
2 1 1
direct
0.000 0.000 0.777
0.000 0.000 0.223
0.500 0.500 0.500
0.500 0.500 0.000
```

Output
- Magnetization: 0.000 μB/atom
- E_form (uncorrected): 0.500 eV/atom
- Raw total energy: -40.6662 eV/atom

(12)
First-principles (meta-GGA SCAN) data for a PBEsol-optimized structure of KMo2As2, as listed in the Alexandria database.

POSCAR file:
```
KMo2As2
1.0
-3.790 2.800 -0.912
0.147 -2.276 5.033
1.302 2.927 3.574
K Mo As
1 2 2
direct
0.000 0.000 0.000
0.624 0.248 0.376
0.376 0.752 0.624
0.750 0.500 0.750
0.250 0.500 0.250
```

Output
- Magnetization: 0.000 μB/atom
- Energy above the lowest structure with this stoichiometry: 403.9 meV per atom
- ΔH_f (0 K): 0.0435 eV/atom
- Raw total energy: -23.6526 eV/atom

(13)
First-principles (meta-GGA SCAN) data for a PBEsol-optimized structure of SrBeCo, as listed in the Alexandria database.

POSCAR file:
```
SrBeCo
1.0
4.695 0.000 0.000
2.347 4.066 0.000
2.347 1.355 3.833
Sr Co Be
1 1 1
direct
0.750 0.750 0.750
0.500 0.500 0.500
0.000 0.000 0.000
```

Output
- Magnetization: 0.570 μB/atom
- Energy above the lowest structure with this stoichiometry: 508.0 meV per atom
- ΔH_f (0 K): 1.4843 eV/atom
- Raw total energy: -13.1600 eV/atom

(14)
First-principles (meta-GGA SCAN) data for a PBEsol-optimized structure of Hf2Os, as listed in the Alexandria database.

POSCAR file:
```
Hf2Os
1.0
-7.999 0.589 -3.157
-3.209 -6.380 -4.826
-6.250 -5.045 3.128
Hf Os
16 8
direct
0.125 0.125 0.125
0.125 0.125 0.625
0.125 0.625 0.125
0.625 0.125 0.125
0.689 0.689 0.311
0.311 0.311 0.689
0.689 0.311 0.689
0.311 0.689 0.311
0.689 0.311 0.311
0.311 0.689 0.689
0.561 0.561 0.939
0.939 0.939 0.561
0.561 0.939 0.561
0.939 0.561 0.939
0.561 0.939 0.939
0.939 0.561 0.561
0.911 0.911 0.911
0.911 0.911 0.268
0.911 0.268 0.911
0.268 0.911 0.911
0.339 0.339 0.339
0.339 0.339 0.982
0.339 0.982 0.339
0.982 0.339 0.339
```

Output
- Magnetization: 0.000 μB/atom
- ΔH_f (0 K): -0.5324 eV/atom
- Raw total energy: -66.2745 eV/atom

(15)
First-principles (meta-GGA SCAN) data for a PBEsol-optimized structure of UCdMo4O16, as listed in the Alexandria database.

POSCAR file:
```
UCdMo4O16
1.0
6.610 0.000 0.000
0.000 8.075 -0.009
0.000 0.079 11.431
U Cd Mo O
2 2 8 32
direct
0.704 0.750 0.250
0.296 0.250 0.750
0.302 0.750 0.750
0.698 0.250 0.250
0.171 0.707 0.092
0.829 0.293 0.908
0.171 0.793 0.408
0.829 0.207 0.592
0.172 0.206 0.096
0.828 0.794 0.904
0.172 0.294 0.404
0.828 0.706 0.596
0.151 0.248 0.567
0.849 0.752 0.433
0.153 0.506 0.403
0.847 0.494 0.597
0.156 0.495 0.097
0.844 0.505 0.903
0.066 0.250 0.250
0.934 0.750 0.750
0.702 0.523 0.252
0.298 0.477 0.748
0.577 0.740 0.625
0.423 0.260 0.375
0.849 0.748 0.067
0.151 0.252 0.933
0.702 0.977 0.248
0.298 0.023 0.752
0.150 0.749 0.937
0.850 0.251 0.063
0.426 0.743 0.128
0.574 0.257 0.872
0.423 0.240 0.125
0.577 0.760 0.875
0.844 0.995 0.597
0.156 0.005 0.403
0.061 0.750 0.250
0.939 0.250 0.750
0.426 0.757 0.372
0.574 0.243 0.628
0.153 0.994 0.097
0.847 0.006 0.903
0.150 0.751 0.563
0.850 0.249 0.437
```

Output
- Magnetization: 0.000 μB/atom
- E_form (uncorrected): -2.265 eV/atom
- Raw total energy: -19.2282 eV/atom

(16)
First-principles (meta-GGA SCAN) data for a PBEsol-optimized structure of K3Os2, as listed in the Alexandria database.

POSCAR file:
```
K3Os2
1.0
-3.247 -0.319 -3.338
4.280 -1.711 -0.736
-2.866 -8.731 3.622
K Os
3 2
direct
0.000 0.000 0.000
0.333 0.667 0.297
0.667 0.333 0.703
0.333 0.667 0.983
0.667 0.333 0.017
```

Output
- Magnetization: 0.007 μB/atom
- ΔH_f (0 K): 1.5096 eV/atom
- Raw total energy: -32.2396 eV/atom

(17)
First-principles (meta-GGA SCAN) data for a PBEsol-optimized structure of K2OsCl, as listed in the Alexandria database.

POSCAR file:
```
K2OsCl
1.0
3.104 0.000 0.000
-1.552 2.692 -0.022
0.000 -1.687 10.123
K Os Cl
2 1 1
direct
0.760 0.521 0.778
0.240 0.479 0.222
0.000 0.000 0.500
0.500 0.000 0.000
```

Output
- Magnetization: 0.287 μB/atom
- Energy above the lowest structure with this stoichiometry: 0.0 meV per atom
- E_form (uncorrected): 0.256 eV/atom
- Raw total energy: -23.8732 eV/atom

(18)
First-principles (meta-GGA SCAN) data for a PBEsol-optimized structure of Rb4BaV6O18, as listed in the Alexandria database.

POSCAR file:
```
Rb4BaV6O18
1.0
10.234 -0.027 -0.025
1.055 10.179 -0.025
1.055 0.949 10.135
Rb Ba V O
8 2 12 36
direct
0.496 0.496 0.496
0.996 0.996 0.996
0.079 0.491 0.916
0.916 0.079 0.491
0.491 0.916 0.079
0.579 0.416 0.991
0.991 0.579 0.416
0.416 0.991 0.579
0.271 0.271 0.271
0.771 0.771 0.771
0.669 0.104 0.801
0.801 0.669 0.104
0.104 0.801 0.669
0.169 0.301 0.604
0.604 0.169 0.301
0.301 0.604 0.169
0.832 0.390 0.704
0.704 0.832 0.390
0.390 0.704 0.832
0.332 0.204 0.890
0.890 0.332 0.204
0.204 0.890 0.332
0.353 0.663 0.004
0.004 0.353 0.663
0.663 0.004 0.353
0.853 0.504 0.163
0.163 0.853 0.504
0.504 0.163 0.853
0.165 0.529 0.176
0.176 0.165 0.529
0.529 0.176 0.165
0.665 0.676 0.029
0.029 0.665 0.676
0.676 0.029 0.665
0.764 0.243 0.776
0.776 0.764 0.243
0.243 0.776 0.764
0.264 0.276 0.743
0.743 0.264 0.276
0.276 0.743 0.264
0.726 0.992 0.915
0.915 0.726 0.992
0.992 0.915 0.726
0.226 0.415 0.492
0.492 0.226 0.415
0.415 0.492 0.226
0.307 0.315 0.001
0.001 0.307 0.315
0.315 0.001 0.307
0.807 0.501 0.815
0.815 0.807 0.501
0.501 0.815 0.807
0.764 0.451 0.570
0.570 0.764 0.451
0.451 0.570 0.764
0.264 0.070 0.951
0.951 0.264 0.070
0.070 0.951 0.264
```

Output
- Magnetization: 0.010 μB/atom
- E_form (uncorrected): -2.646 eV/atom
- Raw total energy: -14.3559 eV/atom

(19)
First-principles (meta-GGA SCAN) data for a PBEsol-optimized structure of TaBe2Sb, as listed in the Alexandria database.

POSCAR file:
```
TaBe2Sb
1.0
3.806 0.000 0.000
0.000 3.806 0.000
-1.903 -1.903 4.045
Sb Ta Be
1 1 2
direct
0.500 0.500 0.000
0.000 0.000 0.000
0.250 0.750 0.500
0.750 0.250 0.500
```

Output
- Magnetization: 0.000 μB/atom
- E_form (uncorrected): 0.400 eV/atom
- Raw total energy: -27.7374 eV/atom

(20)
First-principles (meta-GGA SCAN) data for a PBEsol-optimized structure of Pt, as listed in the Alexandria database.

POSCAR file:
```
Pt
1.0
-0.872 -2.455 0.711
1.196 1.178 2.115
-2.096 1.503 -0.801
Pt
1
direct
0.000 0.000 0.000
```

Output
- Magnetization: 0.000 μB/atom
- Energy above the lowest structure with this stoichiometry: 104.5 meV per atom
- ΔH_f (0 K): 0.1045 eV/atom
- Raw total energy: -70.0886 eV/atom